# SrLa2MgBr (PBE, relaxed)
# * formation energy from raw total energies: 0.511 eV/atom
data_SrLa2MgBr
_chemical_formula_sum 'Sr1 La2 Mg1 Br1'
_cell_length_a 6.383
_cell_length_b 6.383
_cell_length_c 5.605
_cell_angle_alpha 90.00
_cell_angle_beta 90.00
_cell_angle_gamma 90.00
_space_group_name_H-M_alt 'P 1'
_space_group_IT_number 1
loop_
_space_group_symop_operation_xyz
'x,y,z'
loop_
_atom_site_label
_atom_site_fract_x
_atom_site_fract_y
_atom_site_fract_z
Sr1 0.000 0.000 0.000
La1 0.000 0.500 0.000
La2 0.500 0.000 0.000
Mg1 0.500 0.500 0.500
Br1 0.000 0.000 0.500

=====

# SrAcPSe (PBE, relaxed)
# * formation energy from raw total energies: -1.722 eV/atom
data_SrAcPSe
_chemical_formula_sum 'Sr1 Ac1 P1 Se1'
_cell_length_a 7.748
_cell_length_b 7.748
_cell_length_c 7.748
_cell_angle_alpha 33.48
_cell_angle_beta 33.48
_cell_angle_gamma 33.48
_space_group_name_H-M_alt 'P 1'
_space_group_IT_number 1
loop_
_space_group_symop_operation_xyz
'x,y,z'
loop_
_atom_site_label
_atom_site_fract_x
_atom_site_fract_y
_atom_site_fract_z
Sr1 0.000 0.000 0.000
Ac1 0.489 0.489 0.489
P1 0.749 0.749 0.749
Se1 0.246 0.246 0.246

=====

# CuSbAsBr2 (PBE, relaxed)
# * formation energy from raw total energies: 0.309 eV/atom
# * offset from the most stable computed form: 0 meV/atom
data_CuSbAsBr2
_chemical_formula_sum 'Cu1 Sb1 As1 Br2'
_cell_length_a 4.845
_cell_length_b 4.845
_cell_length_c 5.121
_cell_angle_alpha 90.00
_cell_angle_beta 90.00
_cell_angle_gamma 90.00
_space_group_name_H-M_alt 'P 1'
_space_group_IT_number 1
loop_
_space_group_symop_operation_xyz
'x,y,z'
loop_
_atom_site_label
_atom_site_fract_x
_atom_site_fract_y
_atom_site_fract_z
Cu1 0.000 0.000 0.000
Sb1 0.500 0.500 0.500
As1 0.000 0.000 0.500
Br1 0.000 0.500 0.000
Br2 0.500 0.000 0.000

=====

# Sm3TmTh (PBE, relaxed)
# * offset from the most stable computed form: 107 meV/atom
# * calculated formation energy: 313 meV per atom
data_Sm3TmTh
_chemical_formula_sum 'Sm6 Tm2 Th2'
_cell_length_a 9.575
_cell_length_b 9.575
_cell_length_c 9.575
_cell_angle_alpha 41.92
_cell_angle_beta 41.92
_cell_angle_gamma 41.92
_space_group_name_H-M_alt 'P 1'
_space_group_IT_number 1
loop_
_space_group_symop_operation_xyz
'x,y,z'
loop_
_atom_site_label
_atom_site_fract_x
_atom_site_fract_y
_atom_site_fract_z
Sm1 0.246 0.732 0.732
Sm2 0.268 0.268 0.754
Sm3 0.268 0.754 0.268
Sm4 0.732 0.246 0.732
Sm5 0.732 0.732 0.246
Sm6 0.754 0.268 0.268
Tm1 0.316 0.316 0.316
Tm2 0.684 0.684 0.684
Th1 0.196 0.196 0.196
Th2 0.804 0.804 0.804

=====

# Pd2PtAu (PBE, relaxed)
# * offset from the most stable computed form: 16 meV/atom
# * calculated formation energy: -24 meV per atom
data_Pd2PtAu
_chemical_formula_sum 'Pd2 Pt1 Au1'
_cell_length_a 9.435
_cell_length_b 9.435
_cell_length_c 9.435
_cell_angle_alpha 17.22
_cell_angle_beta 17.22
_cell_angle_gamma 17.22
_space_group_name_H-M_alt 'P 1'
_space_group_IT_number 1
loop_
_space_group_symop_operation_xyz
'x,y,z'
loop_
_atom_site_label
_atom_site_fract_x
_atom_site_fract_y
_atom_site_fract_z
Pd1 0.248 0.248 0.248
Pd2 0.752 0.752 0.752
Pt1 0.500 0.500 0.500
Au1 0.000 0.000 0.000

=====

# Nd6YEr8 (PBE, relaxed)
# * offset from the most stable computed form: 110 meV/atom
# * calculated formation energy: 234 meV per atom
data_Nd6YEr8
_chemical_formula_sum 'Nd6 Y1 Er8'
_cell_length_a 9.516
_cell_length_b 9.516
_cell_length_c 6.514
_cell_angle_alpha 90.00
_cell_angle_beta 90.00
_cell_angle_gamma 120.00
_space_group_name_H-M_alt 'P 1'
_space_group_IT_number 1
loop_
_space_group_symop_operation_xyz
'x,y,z'
loop_
_atom_site_label
_atom_site_fract_x
_atom_site_fract_y
_atom_site_fract_z
Nd1 0.090 0.679 0.093
Nd2 0.321 0.410 0.093
Nd3 0.410 0.090 0.907
Nd4 0.590 0.910 0.093
Nd5 0.679 0.590 0.907
Nd6 0.910 0.321 0.907
Y1 0.000 0.000 0.000
Er1 0.020 0.330 0.400
Er2 0.310 0.980 0.400
Er3 0.330 0.310 0.600
Er4 0.333 0.667 0.644
Er5 0.667 0.333 0.356
Er6 0.670 0.690 0.400
Er7 0.690 0.020 0.600
Er8 0.980 0.670 0.600

=====

Short version: M_tot = 0.416; 0.000; 0.000; 0.000; 0.000; 0.000 μB/atom, in the order given.